First-principles (GGA-PBE) data for a relaxed Pm2ErCu crystal, as listed in the Alexandria database.

Unit cell a=11.524 b=11.524 c=11.524 alpha=17.43 beta=17.43 gamma=17.43
Sites, in units of the cell vectors:
Pm (0.082, 0.082, 0.082)
Pm (0.918, 0.918, 0.918)
Er (0.500, 0.500, 0.500)
Cu (0.000, 0.000, 0.000)

Computed properties:
- DFT formation energy: 0.42 eV per atom
- Energy relative to the lowest polymorph listed for this composition: 470 meV/atom



First-principles (GGA-PBE) data for a relaxed Pm2Er2Cu crystal, as listed in the Alexandria database.

Unit cell a=11.624 b=11.624 c=11.624 alpha=162.62 beta=162.62 gamma=24.68
Sites, in units of the cell vectors:
Pm (0.192, 0.192, 0.000)
Pm (0.808, 0.808, 0.000)
Er (0.427, 0.427, 0.000)
Er (0.573, 0.573, 0.000)
Cu (0.000, 0.000, 0.000)

Computed properties:
- DFT formation energy: -0.08 eV per atom



First-principles (GGA-PBE) data for a relaxed PmEr2Cu2 crystal, as listed in the Alexandria database.

Unit cell a=4.978 b=4.613 c=10.698 alpha=90.00 beta=96.53 gamma=90.00
Sites, in units of the cell vectors:
Pm (0.191, 0.250, 0.242)
Pm (0.809, 0.750, 0.758)
Er (0.250, 0.750, 0.496)
Er (0.345, 0.250, 0.887)
Er (0.655, 0.750, 0.113)
Er (0.750, 0.250, 0.504)
Cu (0.127, 0.750, 0.007)
Cu (0.283, 0.250, 0.634)
Cu (0.717, 0.750, 0.366)
Cu (0.873, 0.250, 0.993)

Computed properties:
- DFT formation energy: -0.12 eV per atom
- Energy relative to the lowest polymorph listed for this composition: 31 meV/atom



First-principles (GGA-PBE) data for a relaxed PmErCu2 crystal, as listed in the Alexandria database.

Unit cell a=4.956 b=4.956 c=4.956 alpha=60.00 beta=60.00 gamma=60.00
Sites, in units of the cell vectors:
Pm (0.000, 0.000, 0.000)
Er (0.500, 0.500, 0.500)
Cu (0.250, 0.250, 0.250)
Cu (0.750, 0.750, 0.750)

Computed properties:
- DFT formation energy: -0.21 eV per atom
- Energy relative to the lowest polymorph listed for this composition: 18 meV/atom



First-principles (GGA-PBE) data for a relaxed PmEr3Cu4 crystal, as listed in the Alexandria database.

Unit cell a=4.910 b=4.910 c=6.919 alpha=90.00 beta=90.00 gamma=90.00
Sites, in units of the cell vectors:
Pm (0.000, 0.000, 0.000)
Er (0.000, 0.000, 0.500)
Er (0.500, 0.500, 0.000)
Er (0.500, 0.500, 0.500)
Cu (0.000, 0.500, 0.261)
Cu (0.000, 0.500, 0.739)
Cu (0.500, 0.000, 0.261)
Cu (0.500, 0.000, 0.739)

Computed properties:
- DFT formation energy: -0.24 eV per atom



First-principles (GGA-PBE) data for a relaxed PmErCu crystal, as listed in the Alexandria database.

Unit cell a=4.884 b=4.884 c=4.884 alpha=60.00 beta=60.00 gamma=60.00
Sites, in units of the cell vectors:
Pm (0.000, 0.000, 0.000)
Er (0.500, 0.500, 0.500)
Cu (0.250, 0.250, 0.250)

Computed properties:
- DFT formation energy: 0.07 eV per atom
- Energy relative to the lowest polymorph listed for this composition: 193 meV/atom



First-principles (GGA-PBE) data for a relaxed Pm2ErCu9 crystal, as listed in the Alexandria database.

Unit cell a=8.973 b=8.973 c=8.973 alpha=33.46 beta=33.46 gamma=33.46
Sites, in units of the cell vectors:
Pm (0.140, 0.140, 0.140)
Pm (0.860, 0.860, 0.860)
Er (0.000, 0.000, 0.000)
Cu (0.082, 0.579, 0.579)
Cu (0.332, 0.332, 0.332)
Cu (0.421, 0.421, 0.918)
Cu (0.421, 0.918, 0.421)
Cu (0.500, 0.500, 0.500)
Cu (0.579, 0.082, 0.579)
Cu (0.579, 0.579, 0.082)
Cu (0.668, 0.668, 0.668)
Cu (0.918, 0.421, 0.421)

Computed properties:
- DFT formation energy: -0.16 eV per atom



First-principles (GGA-PBE) data for a relaxed PmEr2Cu crystal, as listed in the Alexandria database.

Unit cell a=10.057 b=10.057 c=10.057 alpha=20.66 beta=20.66 gamma=20.66
Sites, in units of the cell vectors:
Pm (0.000, 0.000, 0.000)
Er (0.233, 0.233, 0.233)
Er (0.767, 0.767, 0.767)
Cu (0.500, 0.500, 0.500)

Computed properties:
- DFT formation energy: 0.02 eV per atom
- Energy relative to the lowest polymorph listed for this composition: 134 meV/atom



First-principles (GGA-PBE) data for a relaxed PmEr2Cu crystal, as listed in the Alexandria database.

Unit cell a=3.486 b=3.486 c=8.686 alpha=90.00 beta=90.00 gamma=90.00
Sites, in units of the cell vectors:
Pm (0.000, 0.000, 0.000)
Er (0.500, 0.500, 0.307)
Er (0.500, 0.500, 0.693)
Cu (0.000, 0.000, 0.500)

Computed properties:
- DFT formation energy: -0.11 eV per atom
- Energy relative to the lowest polymorph listed for this composition: 0 meV/atom



First-principles (GGA-PBE) data for a relaxed Pm2ErCu crystal, as listed in the Alexandria database.

Unit cell a=3.595 b=3.595 c=8.584 alpha=90.00 beta=90.00 gamma=90.00
Sites, in units of the cell vectors:
Pm (0.000, 0.000, 0.203)
Pm (0.000, 0.000, 0.797)
Er (0.500, 0.500, 0.500)
Cu (0.500, 0.500, 0.000)

Computed properties:
- DFT formation energy: -0.05 eV per atom
- Energy relative to the lowest polymorph listed for this composition: 0 meV/atom



First-principles (GGA-PBE) data for a relaxed PmEr2Cu crystal, as listed in the Alexandria database.

Unit cell a=4.915 b=7.476 c=6.337 alpha=90.00 beta=112.74 gamma=90.00
Sites, in units of the cell vectors:
Pm (0.047, 0.250, 0.094)
Pm (0.953, 0.750, 0.906)
Er (0.350, 0.031, 0.701)
Er (0.350, 0.469, 0.701)
Er (0.650, 0.531, 0.299)
Er (0.650, 0.969, 0.299)
Cu (0.201, 0.750, 0.403)
Cu (0.799, 0.250, 0.597)

Computed properties:
- DFT formation energy: -0.07 eV per atom
- Energy relative to the lowest polymorph listed for this composition: 40 meV/atom



First-principles (GGA-PBE) data for a relaxed PmErCu4 crystal, as listed in the Alexandria database.

Unit cell a=5.491 b=5.491 c=5.491 alpha=133.84 beta=102.02 gamma=95.68
Sites, in units of the cell vectors:
Pm (0.000, 0.000, 0.000)
Er (0.585, 0.085, 0.500)
Cu (0.010, 0.711, 0.299)
Cu (0.186, 0.381, 0.804)
Cu (0.412, 0.711, 0.701)
Cu (0.577, 0.381, 0.196)

Computed properties:
- DFT formation energy: -0.25 eV per atom
- Energy relative to the lowest polymorph listed for this composition: 0 meV/atom



First-principles (GGA-PBE) data for a relaxed PmErCu crystal, as listed in the Alexandria database.

Unit cell a=6.703 b=6.703 c=6.703 alpha=149.73 beta=149.73 gamma=43.34
Sites, in units of the cell vectors:
Pm (0.000, 0.000, 0.000)
Er (0.722, 0.722, 0.000)
Cu (0.346, 0.346, 0.000)

Computed properties:
- DFT formation energy: -0.12 eV per atom
- Energy relative to the lowest polymorph listed for this composition: 0 meV/atom



First-principles (GGA-PBE) data for a relaxed Pm2ErCu2 crystal, as listed in the Alexandria database.

Unit cell a=7.195 b=7.195 c=4.749 alpha=90.00 beta=90.00 gamma=90.00
Sites, in units of the cell vectors:
Pm (0.171, 0.329, 0.000)
Pm (0.329, 0.829, 0.000)
Pm (0.671, 0.171, 0.000)
Pm (0.829, 0.671, 0.000)
Er (0.000, 0.000, 0.500)
Er (0.500, 0.500, 0.500)
Cu (0.122, 0.622, 0.500)
Cu (0.378, 0.122, 0.500)
Cu (0.622, 0.878, 0.500)
Cu (0.878, 0.378, 0.500)

Computed properties:
- DFT formation energy: -0.13 eV per atom
- Energy relative to the lowest polymorph listed for this composition: 0 meV/atom



no.,size of the total moment (μB/f.u.)
1,0.0
2,0.0
3,0.0
4,0.0
5,0.0
6,0.0
7,0.0
8,0.0
9,0.0
10,0.0
11,0.0
12,0.0
13,0.0
14,0.0